1.
Entry from the Alexandria database: crystalline CsNb2Sn at its relaxed geometry (PBE).

Lattice parameters (Å, degrees): 8.360 8.360 6.691 51.34 51.34 90.00
Fractional positions:
Cs: 0.750 0.250 0.500
Cs: 0.000 0.000 0.000
Nb: 0.581 0.125 0.250
Nb: 0.375 0.419 0.750
Nb: 0.169 0.625 0.250
Nb: 0.875 0.831 0.750
Sn: 0.500 0.500 0.000
Sn: 0.250 0.750 0.500

Computed properties:
* M_tot: 0.0 μB/cell
* energy of formation: 1.56 eV per atom
* ρ: 6.63 g/cm3
* DOS(E_F): 1.223 states/eV/atom
* DFT total energy: -18.78 eV/f.u.
* crystal system: tetragonal

2.
Entry from the Alexandria database: crystalline Li3Mg2Zn2 at its relaxed geometry (PBE).

Lattice parameters (Å, degrees): 4.648 4.641 7.154 108.64 90.00 120.05
Fractional positions:
Li: 0.353 0.706 0.560
Li: 0.647 0.294 0.440
Li: 0.500 0.000 0.000
Mg: 0.922 0.844 0.264
Mg: 0.078 0.156 0.736
Zn: 0.219 0.438 0.153
Zn: 0.781 0.562 0.847

Computed properties:
* distance to the lowest polymorph of the same formula: 18.6 meV per atom
* M_tot: 0.0 μB/cell
* energy of formation: -0.12 eV per atom
* ρ: 2.68 g/cm3
* DOS(E_F): 0.327 states/eV/atom
* DFT total energy: -12.32 eV/f.u.
* crystal system: monoclinic

3.
Entry from the Alexandria database: crystalline PmPrSm5Dy2 at its relaxed geometry (PBE).

Lattice parameters (Å, degrees): 5.701 10.529 10.678 90.00 90.00 105.71
Fractional positions:
Pm: 0.799 0.598 0.511
Pm: 0.201 0.402 0.011
Sm: 0.281 0.561 0.311
Sm: 0.017 0.034 0.025
Sm: 0.719 0.439 0.811
Sm: 0.610 0.219 0.525
Sm: 0.478 0.956 0.739
Sm: 0.390 0.781 0.025
Sm: 0.522 0.044 0.239
Sm: 0.983 0.966 0.525
Sm: 0.297 0.595 0.707
Sm: 0.703 0.405 0.207
Dy: 0.116 0.232 0.322
Dy: 0.888 0.776 0.233
Dy: 0.112 0.224 0.733
Dy: 0.884 0.768 0.822
Pr: 0.585 0.170 0.950
Pr: 0.415 0.830 0.450

Computed properties:
* M_tot: 0.0 μB/cell
* energy of formation: 0.15 eV per atom
* ρ: 7.33 g/cm3
* DOS(E_F): 1.561 states/eV/atom
* DFT total energy: -40.98 eV/f.u.
* crystal system: orthorhombic

4.
Entry from the Alexandria database: crystalline KSrV at its relaxed geometry (PBE).

Lattice parameters (Å, degrees): 5.949 5.949 8.799 90.00 90.00 120.00
Fractional positions:
K: 0.667 0.333 0.000
K: 0.667 0.333 0.500
Sr: 0.333 0.667 0.716
Sr: 0.333 0.667 0.284
V: 0.000 0.000 0.603
V: 0.000 0.000 0.397

Computed properties:
* distance to the lowest polymorph of the same formula: 378.8 meV per atom
* M_tot: 0.0 μB/cell
* energy of formation: 0.84 eV per atom
* ρ: 2.19 g/cm3
* DOS(E_F): 1.280 states/eV/atom
* DFT total energy: -9.36 eV/f.u.
* crystal system: hexagonal

5.
Entry from the Alexandria database: crystalline Sr3PbBr at its relaxed geometry (PBE).

Lattice parameters (Å, degrees): 4.942 8.580 9.507 103.83 90.00 90.00
Each line ends with the local moment (μB).
Fractional positions:
Pb: 0.250 0.328 0.219  0.01
Pb: 0.750 0.672 0.781  0.01
Br: 0.750 0.139 0.621  0.01
Br: 0.250 0.861 0.379  0.01
Sr: 0.250 0.687 0.037  0.07
Sr: 0.750 0.313 0.963  0.07
Sr: 0.750 0.079 0.276  0.04
Sr: 0.250 0.921 0.724  0.04
Sr: 0.250 0.405 0.628  0.06
Sr: 0.750 0.595 0.372  0.06

Computed properties:
* distance to the lowest polymorph of the same formula: 0.0 meV per atom
* M_tot: 1.8 μB/cell
* ρ: 4.67 g/cm3
* DOS(E_F): 0.269 states/eV/atom
* DFT total energy: -14.80 eV/f.u.
* crystal system: monoclinic
* formation energy from raw total energies: -0.8750 eV/atom

6.
Entry from the Alexandria database: crystalline CaIn2Ge at its relaxed geometry (PBE).

Lattice parameters (Å, degrees): 4.827 4.497 4.497 90.00 90.00 90.00
Fractional positions:
Ge: 0.500 0.000 0.000
In: 0.000 0.000 0.500
In: 0.000 0.500 0.000
Ca: 0.500 0.500 0.500

Computed properties:
* M_tot: 0.0 μB/cell
* energy of formation: -0.29 eV per atom
* ρ: 5.82 g/cm3
* DOS(E_F): 0.426 states/eV/atom
* DFT total energy: -13.26 eV/f.u.
* crystal system: tetragonal

7.
Entry from the Alexandria database: crystalline LiTePt3 at its relaxed geometry (PBE).

Lattice parameters (Å, degrees): 4.390 4.390 4.390 90.00 90.00 90.00
Fractional positions:
Pt: 0.000 0.500 0.000
Pt: 0.000 0.000 0.500
Pt: 0.500 0.000 0.000
Li: 0.000 0.000 0.000
Te: 0.500 0.500 0.500

Computed properties:
* distance to the lowest polymorph of the same formula: 0.0 meV per atom
* M_tot: 0.0 μB/cell
* ρ: 14.13 g/cm3
* DOS(E_F): 0.864 states/eV/atom
* DFT total energy: -21.25 eV/f.u.
* crystal system: cubic
* formation energy from raw total energies: 0.3859 eV/atom

8.
Entry from the Alexandria database: crystalline Pu2PO at its relaxed geometry (PBE).

Lattice parameters (Å, degrees): 3.765 3.765 6.442 73.01 73.01 60.00
Each line ends with the local moment (μB).
Fractional positions:
Pu: 0.761 0.761 0.716  5.19
Pu: 0.239 0.239 0.284  5.19
O: 0.500 0.500 0.500  -0.14
P: 0.000 0.000 0.000  -0.16

Computed properties:
* distance to the lowest polymorph of the same formula: 0.0 meV per atom
* M_tot: 10.6 μB/cell
* ρ: 11.93 g/cm3
* DOS(E_F): 3.475 states/eV/atom
* DFT total energy: -46.22 eV/f.u.
* crystal system: trigonal
* formation energy from raw total energies: -1.7969 eV/atom

9.
Entry from the Alexandria database: crystalline BaSrSi3 at its relaxed geometry (PBE).

Lattice parameters (Å, degrees): 5.631 5.631 5.631 90.00 90.00 90.00
Fractional positions:
Si: 0.000 0.000 0.500
Si: 0.000 0.500 0.000
Si: 0.500 0.000 0.000
Ba: 0.000 0.000 0.000
Sr: 0.500 0.500 0.500

Computed properties:
* distance to the lowest polymorph of the same formula: 1332.2 meV per atom
* M_tot: 0.0 μB/cell
* ρ: 2.88 g/cm3
* DOS(E_F): 1.203 states/eV/atom
* DFT total energy: -14.66 eV/f.u.
* crystal system: cubic
* formation energy from raw total energies: 1.0423 eV/atom

10.
Entry from the Alexandria database: crystalline Zn2AgIr at its relaxed geometry (PBE).

Lattice parameters (Å, degrees): 2.773 2.773 9.067 90.00 90.00 117.94
Fractional positions:
Zn: 0.500 0.500 0.242
Zn: 0.000 0.000 0.000
Ag: 0.000 0.000 0.494
Ir: 0.500 0.500 0.765

Computed properties:
* M_tot: 0.0 μB/cell
* energy of formation: 0.10 eV per atom
* ρ: 11.62 g/cm3
* DOS(E_F): 0.757 states/eV/atom
* DFT total energy: -13.86 eV/f.u.
* crystal system: orthorhombic

11.
Entry from the Alexandria database: crystalline TmPa2As2N2 at its relaxed geometry (PBE).

Lattice parameters (Å, degrees): 3.890 6.295 6.536 65.31 72.69 72.00
Fractional positions:
N: 0.213 0.662 0.912
N: 0.787 0.338 0.088
As: 0.570 0.205 0.655
As: 0.430 0.795 0.345
Tm: 0.000 0.000 0.000
Pa: 0.808 0.642 0.742
Pa: 0.192 0.358 0.258

Computed properties:
* M_tot: 0.0 μB/cell
* ρ: 9.90 g/cm3
* DOS(E_F): 0.800 states/eV/atom
* DFT total energy: -59.93 eV/f.u.
* crystal system: monoclinic
* formation energy from raw total energies: -1.5025 eV/atom

12.
Entry from the Alexandria database: crystalline Tb8SmY2 at its relaxed geometry (PBE).

Lattice parameters (Å, degrees): 5.931 9.090 9.442 61.22 73.59 54.06
Fractional positions:
Y: 0.000 0.310 0.380
Y: 0.000 0.690 0.620
Sm: 0.500 0.000 0.000
Tb: 0.291 0.439 0.000
Tb: 0.500 0.204 0.592
Tb: 0.193 0.657 0.244
Tb: 0.709 0.561 0.000
Tb: 0.807 0.099 0.244
Tb: 0.193 0.901 0.756
Tb: 0.807 0.343 0.756
Tb: 0.500 0.796 0.408

Computed properties:
* distance to the lowest polymorph of the same formula: 36.4 meV per atom
* M_tot: 0.0 μB/cell
* energy of formation: 0.15 eV per atom
* ρ: 7.35 g/cm3
* DOS(E_F): 1.445 states/eV/atom
* DFT total energy: -53.02 eV/f.u.
* crystal system: monoclinic

13.
Entry from the Alexandria database: crystalline Cr2SbPt at its relaxed geometry (PBE).

Lattice parameters (Å, degrees): 3.023 3.023 6.580 90.00 90.00 90.00
Each line ends with the local moment (μB).
Fractional positions:
Cr: 0.000 0.000 0.501  0.47
Cr: 0.000 0.000 0.999  0.47
Sb: 0.500 0.500 0.750  -0.04
Pt: 0.500 0.500 0.250  0.08

Computed properties:
* M_tot: 1.0 μB/cell
* ρ: 11.62 g/cm3
* DOS(E_F): 1.260 states/eV/atom
* DFT total energy: -28.06 eV/f.u.
* crystal system: tetragonal
* formation energy from raw total energies: 0.3369 eV/atom

14.
Entry from the Alexandria database: crystalline K2NdPaO6 at its relaxed geometry (PBE).

Lattice parameters (Å, degrees): 6.319 6.318 6.322 60.00 60.00 90.00
Each line ends with the local moment (μB).
Fractional positions:
Pa: 0.000 0.000 0.000  0.19
K: 0.250 0.750 0.500  0.00
K: 0.750 0.250 0.500  0.00
Nd: 0.500 0.500 0.000  0.02
O: 0.238 0.762 0.000  0.26
O: 0.238 0.238 0.000  0.26
O: 0.762 0.762 0.477  0.26
O: 0.762 0.762 0.000  0.26
O: 0.762 0.238 0.000  0.26
O: 0.238 0.238 0.523  0.26

Computed properties:
* M_tot: 2.0 μB/cell
* ρ: 5.11 g/cm3
* DOS(E_F): 0.808 states/eV/atom
* DFT total energy: -71.18 eV/f.u.
* crystal system: cubic
* formation energy from raw total energies: -2.4971 eV/atom

15.
Entry from the Alexandria database: crystalline LaAl3Rh at its relaxed geometry (PBE).

Lattice parameters (Å, degrees): 5.428 5.428 5.428 90.00 90.00 90.00
Each line ends with the local moment (μB).
Fractional positions:
Al: 0.500 0.000 0.000  0.01
Al: 0.000 0.500 0.000  -0.01
Al: 0.000 0.000 0.500  0.00
La: 0.000 0.000 0.000  -0.02
Rh: 0.500 0.500 0.500  0.99

Computed properties:
* distance to the lowest polymorph of the same formula: 2397.8 meV per atom
* M_tot: 1.0 μB/cell
* energy of formation: 1.76 eV per atom
* ρ: 3.35 g/cm3
* DOS(E_F): 1.095 states/eV/atom
* DFT total energy: -14.73 eV/f.u.
* crystal system: cubic

16.
Entry from the Alexandria database: crystalline Pr12Bi3C5 at its relaxed geometry (PBE).

Lattice parameters (Å, degrees): 14.484 14.484 14.484 109.47 109.47 109.47
Fractional positions:
C: 0.625 0.750 0.875
C: 0.875 0.250 0.625
C: 0.250 0.875 0.125
C: 0.250 0.375 0.625
C: 0.750 0.125 0.875
C: 0.000 0.000 0.500
C: 0.500 0.500 0.500
C: 0.375 0.125 0.750
C: 0.875 0.625 0.750
C: 0.125 0.750 0.375
C: 0.500 0.000 0.000
C: 0.500 0.000 0.500
C: 0.625 0.875 0.250
C: 0.375 0.250 0.125
C: 0.750 0.625 0.375
C: 0.125 0.375 0.250
C: 0.500 0.500 0.000
C: 0.000 0.500 0.500
C: 0.000 0.500 0.000
C: 0.000 0.000 0.000
Pr: 0.817 0.904 0.016
Pr: 0.111 0.699 0.516
Pr: 0.984 0.389 0.301
Pr: 0.683 0.199 0.587
Pr: 0.516 0.199 0.111
Pr: 0.817 0.913 0.301
Pr: 0.301 0.889 0.984
Pr: 0.913 0.096 0.611
Pr: 0.087 0.904 0.389
Pr: 0.801 0.317 0.913
Pr: 0.016 0.611 0.699
Pr: 0.389 0.984 0.801
Pr: 0.596 0.611 0.413
Pr: 0.587 0.699 0.683
Pr: 0.413 0.301 0.317
Pr: 0.611 0.596 0.913
Pr: 0.611 0.016 0.199
Pr: 0.484 0.801 0.889
Pr: 0.096 0.913 0.111
Pr: 0.301 0.413 0.817
Pr: 0.484 0.683 0.096
Pr: 0.913 0.817 0.801
Pr: 0.199 0.683 0.087
Pr: 0.317 0.516 0.404
Pr: 0.699 0.111 0.016
Pr: 0.016 0.404 0.817
Pr: 0.317 0.801 0.413
Pr: 0.404 0.016 0.317
Pr: 0.087 0.183 0.199
Pr: 0.587 0.889 0.404
Pr: 0.801 0.484 0.389
Pr: 0.096 0.183 0.484
Pr: 0.413 0.111 0.596
Pr: 0.889 0.587 0.904
Pr: 0.111 0.413 0.096
Pr: 0.596 0.984 0.683
Pr: 0.889 0.301 0.484
Pr: 0.904 0.087 0.889
Pr: 0.404 0.389 0.587
Pr: 0.699 0.587 0.183
Pr: 0.904 0.817 0.516
Pr: 0.389 0.404 0.087
Pr: 0.199 0.516 0.611
Pr: 0.183 0.096 0.984
Pr: 0.984 0.596 0.183
Pr: 0.183 0.087 0.699
Pr: 0.516 0.317 0.904
Pr: 0.683 0.484 0.596
Bi: 0.375 0.750 0.625
Bi: 0.625 0.250 0.375
Bi: 0.750 0.875 0.625
Bi: 0.250 0.125 0.375
Bi: 0.875 0.125 0.250
Bi: 0.750 0.375 0.125
Bi: 0.125 0.250 0.875
Bi: 0.875 0.750 0.125
Bi: 0.625 0.375 0.750
Bi: 0.250 0.625 0.875
Bi: 0.375 0.625 0.250
Bi: 0.125 0.875 0.750

Computed properties:
* M_tot: 0.0 μB/cell
* energy of formation: -0.20 eV per atom
* ρ: 6.75 g/cm3
* DOS(E_F): 0.620 states/eV/atom
* DFT total energy: -119.17 eV/f.u.
* crystal system: cubic

17.
Entry from the Alexandria database: crystalline Na2ZrHg at its relaxed geometry (PBE).

Lattice parameters (Å, degrees): 3.141 3.141 12.186 82.59 82.59 60.00
Fractional positions:
Na: 0.911 0.911 0.266
Na: 0.089 0.089 0.734
Zr: 0.000 0.000 0.000
Hg: 0.500 0.500 0.500

Computed properties:
* M_tot: 0.0 μB/cell
* energy of formation: 0.24 eV per atom
* ρ: 5.45 g/cm3
* DOS(E_F): 0.820 states/eV/atom
* DFT total energy: -10.55 eV/f.u.
* crystal system: trigonal

18.
Entry from the Alexandria database: crystalline Ta2FeMo at its relaxed geometry (PBE).

Lattice parameters (Å, degrees): 2.788 2.788 8.620 90.00 90.00 108.64
Each line ends with the local moment (μB).
Fractional positions:
Mo: 0.500 0.500 0.750  0.01
Fe: 0.500 0.500 0.250  1.75
Ta: 0.000 0.000 0.486  -0.12
Ta: 0.000 0.000 0.014  -0.12

Computed properties:
* distance to the lowest polymorph of the same formula: 141.0 meV per atom
* M_tot: 1.4 μB/cell
* energy of formation: -0.03 eV per atom
* ρ: 13.43 g/cm3
* DOS(E_F): 0.717 states/eV/atom
* DFT total energy: -43.14 eV/f.u.
* crystal system: orthorhombic

19.
Entry from the Alexandria database: crystalline Sb3HPb at its relaxed geometry (PBE).

Lattice parameters (Å, degrees): 4.897 4.897 4.897 90.00 90.00 90.00
Fractional positions:
Pb: 0.500 0.500 0.500
Sb: 0.500 0.000 0.000
Sb: 0.000 0.500 0.000
Sb: 0.000 0.000 0.500
H: 0.000 0.000 0.000

Computed properties:
* distance to the lowest polymorph of the same formula: 0.0 meV per atom
* M_tot: 0.0 μB/cell
* ρ: 8.11 g/cm3
* DOS(E_F): 0.643 states/eV/atom
* DFT total energy: -17.52 eV/f.u.
* crystal system: cubic

20.
Entry from the Alexandria database: crystalline Ti3BeO at its relaxed geometry (PBE).

Lattice parameters (Å, degrees): 4.044 4.044 4.044 90.00 90.00 90.00
Fractional positions:
Ti: 0.500 0.000 0.000
Ti: 0.000 0.500 0.000
Ti: 0.000 0.000 0.500
Be: 0.500 0.500 0.500
O: 0.000 0.000 0.000

Computed properties:
* distance to the lowest polymorph of the same formula: 0.0 meV per atom
* M_tot: 0.0 μB/cell
* ρ: 4.23 g/cm3
* DOS(E_F): 0.369 states/eV/atom
* DFT total energy: -37.47 eV/f.u.
* crystal system: cubic
* formation energy from raw total energies: -1.0195 eV/atom

21.
Entry from the Alexandria database: crystalline Pr8SmY6 at its relaxed geometry (PBE).

Lattice parameters (Å, degrees): 6.637 9.552 9.552 120.00 90.00 90.00
Fractional positions:
Pr: 0.876 0.333 0.667
Pr: 0.831 0.041 0.287
Pr: 0.169 0.287 0.246
Pr: 0.831 0.713 0.754
Pr: 0.124 0.667 0.333
Pr: 0.831 0.246 0.959
Pr: 0.169 0.959 0.713
Pr: 0.169 0.754 0.041
Y: 0.340 0.560 0.656
Y: 0.660 0.440 0.344
Y: 0.660 0.656 0.096
Y: 0.660 0.904 0.560
Y: 0.340 0.344 0.904
Y: 0.340 0.096 0.440
Sm: 0.500 0.000 0.000

Computed properties:
* distance to the lowest polymorph of the same formula: 53.5 meV per atom
* M_tot: 0.0 μB/cell
* energy of formation: 0.17 eV per atom
* ρ: 5.73 g/cm3
* DOS(E_F): 1.741 states/eV/atom
* DFT total energy: -79.24 eV/f.u.
* crystal system: trigonal

22.
Entry from the Alexandria database: crystalline Ni4MoRu at its relaxed geometry (PBE).

Lattice parameters (Å, degrees): 4.444 4.444 4.485 80.20 80.20 119.08
Fractional positions:
Ru: 0.500 0.500 0.500
Ni: 0.333 0.667 0.000
Ni: 0.667 0.333 0.000
Ni: 0.168 0.832 0.500
Ni: 0.832 0.168 0.500
Mo: 0.000 0.000 0.000

Computed properties:
* distance to the lowest polymorph of the same formula: 20.5 meV per atom
* M_tot: 0.0 μB/cell
* energy of formation: -0.01 eV per atom
* ρ: 9.83 g/cm3
* DOS(E_F): 1.160 states/eV/atom
* DFT total energy: -43.30 eV/f.u.
* crystal system: monoclinic